VASP calculation (PBE) on K2YAl after structural relaxation.

Structure (extended XYZ):
```
4
Lattice="3.4851 0.0092 0.0000 -1.2838 3.2400 0.0000 0.0000 0.0000 13.2039" Properties=species:S:1:pos:R:3 pbc="T T T"
Y 1.1007 1.6246 3.3010
K 0.0000 0.0000 12.8911
K 0.0000 0.0000 6.9148
Al 1.1007 1.6246 9.9029
```

## Properties
total energy: -2.56 eV/atom
total moment: 0.000 Bohr magnetons per cell
space-group type: Cmmm
calculated density: 2.16 g/cm3
formation energy: 0.54 eV/atom